# meta-GGA SCAN AlZn, PBEsol geometry
# E_tot = -10.59 eV per atom
# theoretical density = 4.98 g/cm³
# magnetic moment = 0.00 μB per atom
# DOS at the Fermi energy = 0.319 states/eV/atom
data_AlZn
_cell_length_a 2.804
_cell_length_b 4.682
_cell_length_c 4.697
_cell_angle_alpha 90.00
_cell_angle_beta 90.00
_cell_angle_gamma 90.00
_space_group_name_H-M_alt 'P 1'
_space_group_IT_number 1
loop_
_space_group_symop_operation_xyz
'x,y,z'
loop_
_atom_site_label
_atom_site_fract_x
_atom_site_fract_y
_atom_site_fract_z
Al1 0.250 0.250 0.086
Al2 0.750 0.750 0.914
Zn1 0.250 0.750 0.417
Zn2 0.750 0.250 0.583